Entry 1:
First-principles (PBEsol) data for a relaxed KLi2Re crystal, as listed in Alexandria via LeMat-Bulk.

Results
- Formation enthalpy at 0 K: 1.492 eV/atom
- Calculated density: 4.4 Mg/m³
- E: -12.4 eV per formula unit

POSCAR file:
```
KLi2Re
1.0
-3.764 3.764 3.157
3.764 -3.764 3.157
3.764 3.764 -3.157
K Li Re
2 4 2
direct
0.000 0.000 0.000
0.750 0.250 0.500
0.158 0.125 0.533
0.375 0.842 0.967
0.592 0.625 0.467
0.875 0.408 0.033
0.250 0.750 0.500
0.500 0.500 0.000
```

---

Entry 2:
First-principles (PBEsol) data for a relaxed K2LiRe crystal, as listed in Alexandria via LeMat-Bulk.

Results
- Formation enthalpy at 0 K: 1.296 eV/atom
- Calculated density: 4.7 Mg/m³
- E: -12.4 eV per formula unit

POSCAR file:
```
K2LiRe
1.0
3.114 -5.662 0.000
3.114 5.662 0.000
0.000 0.000 2.701
K Li Re
2 1 1
direct
0.000 0.500 0.000
0.500 0.000 0.000
0.000 0.000 0.500
0.500 0.500 0.500
```

---

Entry 3:
First-principles (PBEsol) data for a relaxed KLiRe crystal, as listed in Alexandria via LeMat-Bulk.

Results
- Formation enthalpy at 0 K: 2.233 eV/atom
- Calculated density: 4.3 Mg/m³
- E: -9.7 eV per formula unit

POSCAR file:
```
KLiRe
1.0
0.000 3.552 3.552
3.552 0.000 3.552
3.552 3.552 0.000
K Li Re
1 1 1
direct
0.000 0.000 0.000
0.500 0.500 0.500
0.250 0.250 0.250
```

---

Entry 4:
First-principles (PBEsol) data for a relaxed K2LiRe crystal, as listed in Alexandria via LeMat-Bulk.

Results
- Formation enthalpy at 0 K: 1.083 eV/atom
- Calculated density: 4.6 Mg/m³
- E: -13.2 eV per formula unit

POSCAR file:
```
K2LiRe
1.0
2.800 0.000 0.000
0.000 2.800 0.000
0.000 0.000 12.463
K Li Re
2 1 1
direct
0.000 0.000 0.000
0.500 0.500 0.342
0.000 0.000 0.620
0.500 0.500 0.780
```

---

Entry 5:
First-principles (PBEsol) data for a relaxed KLi2Re crystal, as listed in Alexandria via LeMat-Bulk.

Results
- Formation enthalpy at 0 K: 1.489 eV/atom
- Calculated density: 4.6 Mg/m³
- E: -12.4 eV per formula unit

POSCAR file:
```
KLi2Re
1.0
0.000 3.506 3.506
3.506 0.000 3.506
3.506 3.506 0.000
K Li Re
1 2 1
direct
0.000 0.000 0.000
0.500 0.500 0.500
0.750 0.750 0.750
0.250 0.250 0.250
```

---

Entry 6:
First-principles (PBEsol) data for a relaxed KLi2Re crystal, as listed in Alexandria via LeMat-Bulk.

Results
- Formation enthalpy at 0 K: 0.689 eV/atom
- Calculated density: 5.1 Mg/m³
- E: -15.6 eV per formula unit

POSCAR file:
```
KLi2Re
1.0
1.762 -2.005 0.000
1.762 2.005 0.000
0.000 0.000 11.010
K Li Re
1 2 1
direct
0.000 0.000 0.000
0.500 0.500 0.310
0.500 0.500 0.690
0.000 0.000 0.500
```

---

Entry 7:
First-principles (PBEsol) data for a relaxed KLiRe3 crystal, as listed in Alexandria via LeMat-Bulk.

Results
- Formation enthalpy at 0 K: 3.793 eV/atom
- Calculated density: 11.2 Mg/m³
- E: -24.1 eV per formula unit

POSCAR file:
```
KLiRe3
1.0
4.481 0.000 0.000
0.000 4.481 0.000
0.000 0.000 4.481
K Li Re
1 1 3
direct
0.000 0.000 0.000
0.500 0.500 0.500
0.000 0.000 0.500
0.000 0.500 0.000
0.500 0.000 0.000
```

---

Entry 8:
First-principles (PBEsol) data for a relaxed KLiRe crystal, as listed in Alexandria via LeMat-Bulk.

Results
- Formation enthalpy at 0 K: 0.915 eV/atom
- Calculated density: 6.5 Mg/m³
- E: -13.7 eV per formula unit

POSCAR file:
```
KLiRe
1.0
-1.322 1.322 8.471
1.322 -1.322 8.471
1.322 1.322 -8.471
K Li Re
1 1 1
direct
0.000 0.000 0.000
0.711 0.711 0.000
0.335 0.335 0.000
```